[1]
## In4GaPb (PBE)

Data for In4GaPb after structural relaxation.

abc: 4.0877 4.0877 9.6666
angles: 90.00 90.00 90.00
Space group P4/mmm (No. 123)
Inequivalent atoms, fractional coordinates:
In1 0.0000 0.0000 0.1572 (multiplicity 2)
In2 0.5000 0.5000 0.3164 (multiplicity 2)
Ga1 0.5000 0.5000 0.0000 (multiplicity 1)
Pb1 0.0000 0.0000 0.5000 (multiplicity 1)

For the density, the calculation gives 7.57 g/cm³. The value obtained for the calculated volume is 162 Å³/f.u. For the formation energy, the calculation gives 0.06 eV/atom. The energy above the most stable polymorph in this dataset is 0.00 eV/f.u.

[2]
## FePb (PBE)

Data for FePb after structural relaxation.

abc: 4.0637 4.0637 9.6816
angles: 90.00 90.00 90.00
Space group I4_1/amd (No. 141, origin choice 2)
Inequivalent atoms, fractional coordinates:
Fe1 0.0000 0.2500 0.3750 (multiplicity 4)
Pb1 0.0000 0.2500 0.8750 (multiplicity 4)

For the density, the calculation gives 10.93 g/cm³. The value obtained for the calculated volume is 40 Å³/f.u. For the formation energy, the calculation gives 0.71 eV/atom.

[3]
## FeIrOs (PBE)

Data for FeIrOs after structural relaxation.

abc: 4.2113 4.2113 2.6609
angles: 90.00 90.00 120.00
Space group P-6m2 (No. 187)
Inequivalent atoms, fractional coordinates:
Fe1 0.0000 0.0000 0.0000 (multiplicity 1)
Ir1 0.6667 0.3333 0.0000 (multiplicity 1)
Os1 0.3333 0.6667 0.5000 (multiplicity 1)

For the density, the calculation gives 17.81 g/cm³. The value obtained for the calculated volume is 41 Å³/f.u. For the formation energy, the calculation gives 0.14 eV/atom. The energy above the most stable polymorph in this dataset is 0.34 eV/f.u.

Number 1: DFT total energy -2.89 eV per atom. Number 2: DFT total energy -5.38 eV per atom. Number 3: DFT total energy -9.38 eV per atom.